# 1
First-principles (PBE-GGA) data for a geometry-optimized LiAcBeP2 structure, as listed in Alexandria via LeMat-Bulk.

Geometry as extended XYZ:
```
5
Lattice="3.884 0.000 0.000 0.000 3.884 0.000 -1.942 -1.942 5.990" Properties=species:S:1:pos:R:3 pbc="T T T"
Li 0.000 1.942 2.995
Ac 0.000 0.000 0.000
Be 1.942 0.000 2.995
P 1.942 1.942 1.682
P 0.000 0.000 4.307
```

## Properties
Magnetization: 0.0 μB per cell
Space group: I-4m2, No. 119
Density of states at the Fermi level: 0.8 states/eV/cell
E_form: -4.1 eV/f.u.



# 2
First-principles (PBE-GGA) data for a geometry-optimized TbYHgPd structure, as listed in Alexandria via LeMat-Bulk.

Geometry as extended XYZ:
```
4
Lattice="-4.290 2.025 1.954 -0.528 0.477 5.081 0.113 4.649 2.165" Properties=species:S:1:pos:R:3 pbc="T T T"
Y -3.528 5.363 6.900
Tb -1.176 1.788 2.300
Hg -2.352 3.576 4.600
Pd 0.000 0.000 0.000
```

## Properties
E above lowest polymorph: 3.4 kJ/mol of atoms
Magnetization: 0.0 μB per cell
Space group: F-43m, No. 216
Density of states at the Fermi level: 2.7 states/eV/cell
E_form: -2.6 eV/f.u.



# 3
First-principles (PBE-GGA) data for a geometry-optimized UPa2RhN4 structure, as listed in Alexandria via LeMat-Bulk.

Geometry as extended XYZ:
```
16
Lattice="3.412 0.000 0.000 -1.706 5.843 0.000 0.000 0.000 11.600" Properties=species:S:1:pos:R:3 pbc="T T T"
U 0.000 1.343 8.700
U 1.706 4.500 2.900
Pa 0.000 4.324 6.497
Pa 1.706 1.520 0.697
Pa 1.706 1.520 5.103
Pa 0.000 4.324 10.903
Rh 1.706 4.011 8.700
Rh 0.000 1.832 2.900
N 0.000 3.276 1.291
N 1.706 2.567 7.091
N 1.706 2.567 10.309
N 0.000 3.276 4.509
N 0.000 0.000 5.800
N 0.000 0.000 0.000
N 0.000 5.632 8.700
N 1.706 0.211 2.900
```

## Properties
Magnetization: 4.4 μB per cell
Formation energy (no corrections): -1160 meV per atom
Space group: Cmcm, No. 63
Density of states at the Fermi level: 12.9 states/eV/cell



# 4
First-principles (PBE-GGA) data for a geometry-optimized KSr2Sb structure, as listed in Alexandria via LeMat-Bulk.

Geometry as extended XYZ:
```
4
Lattice="-1.167 4.149 1.636 -2.787 0.642 -3.616 -6.879 -3.762 4.634" Properties=species:S:1:pos:R:3 pbc="T T T"
K -3.719 -2.034 2.505
Sb -7.730 -0.751 2.886
Sr -6.356 -3.476 4.282
Sr -3.345 1.647 -0.068
```

## Properties
Magnetization: 0.0 μB per cell
Formation energy (no corrections): -405 meV per atom
Space group: P4mm, No. 99
Density of states at the Fermi level: 2.8 states/eV/cell



# 5
First-principles (PBE-GGA) data for a geometry-optimized RbHg3S3 structure, as listed in Alexandria via LeMat-Bulk.

Geometry as extended XYZ:
```
14
Lattice="-2.349 -0.719 -3.563 2.503 -10.880 0.546 -9.087 3.912 5.202" Properties=species:S:1:pos:R:3 pbc="T T T"
Rb -1.948 -6.129 1.207
Rb -6.985 -1.558 0.978
Hg -5.383 -8.518 1.326
Hg -0.271 -7.979 -2.153
Hg -5.221 -4.718 3.081
Hg -3.712 -2.969 -0.896
Hg -8.662 0.292 4.338
Hg -3.550 0.831 0.859
S -5.403 -6.025 0.836
S -2.109 -9.009 -0.733
S -7.079 -3.255 4.010
S -1.854 -4.431 -1.825
S -6.824 1.322 2.918
S -3.530 -1.662 1.349
```

## Properties
E above lowest polymorph: 0.0 kJ/mol of atoms
Magnetization: 0.0 μB per cell
Formation energy (no corrections): -295 meV per atom
Space group: P6_3/m, No. 176
Density of states at the Fermi level: 3.8 states/eV/cell



# 6
First-principles (PBE-GGA) data for a geometry-optimized Ba2Zn4GeAu3 structure, as listed in Alexandria via LeMat-Bulk.

Geometry as extended XYZ:
```
10
Lattice="-3.276 -3.115 -1.105 1.181 -2.557 3.705 -7.134 5.379 5.987" Properties=species:S:1:pos:R:3 pbc="T T T"
Ba -3.457 -0.186 0.974
Ba -4.724 2.729 6.313
Zn -1.047 -2.836 1.300
Zn 0.000 0.000 0.000
Zn -6.104 1.810 3.196
Zn -2.077 0.733 4.091
Ge -4.614 -0.146 4.294
Au -3.567 2.690 2.994
Au -7.877 3.147 4.684
Au -0.304 -0.604 2.603
```

## Properties
Magnetization: 0.0 μB per cell
Space group: P-4m2, No. 115
Density of states at the Fermi level: 5.0 states/eV/cell
E_form: -4.5 eV/f.u.